(1)
Below is a geometry-optimized Li2Ca3BRh3 structure, with properties calculated at the GGA-PBE level.

Output
For the formation energy, the calculation gives -4.67 kcal/mol of atoms. Its energy is -4.49 eV per atom. Its crystal system is hexagonal.

Structure (CIF):
```
data_Li2Ca3BRh3
_cell_length_a 7.3834
_cell_length_b 7.3834
_cell_length_c 3.3869
_cell_angle_alpha 90.00
_cell_angle_beta 90.00
_cell_angle_gamma 120.00
_space_group_name_H-M_alt 'P -6 2 m'
_space_group_IT_number 189
_space_group_name_Hall 'P -6 -2'
loop_
_atom_site_label
_atom_site_fract_x
_atom_site_fract_y
_atom_site_fract_z
_atom_site_occupancy
Li1 0.3333 0.6667 0.0000 1
Ca1 0.0000 0.6350 0.5000 1
B1 0.0000 0.0000 0.5000 1
Rh1 0.0000 0.2201 0.0000 1
```


(2)
Below is a geometry-optimized LiCaBRh2 structure, with properties calculated at the GGA-PBE level.

Output
For the formation energy, the calculation gives -10.38 kcal/mol of atoms. Its energy is -5.51 eV per atom. Its crystal system is tetragonal.

Structure (CIF):
```
data_LiCaBRh2
_cell_length_a 4.172
_cell_length_b 4.172
_cell_length_c 4.322
_cell_angle_alpha 90.00
_cell_angle_beta 90.00
_cell_angle_gamma 90.00
_space_group_name_H-M_alt 'P 4/m m m'
_space_group_IT_number 123
_space_group_name_Hall '-P 4 2'
loop_
_atom_site_label
_atom_site_fract_x
_atom_site_fract_y
_atom_site_fract_z
_atom_site_occupancy
Li1 0.000 0.000 0.000 1
Ca1 0.500 0.500 0.000 1
B1 0.000 0.000 0.500 1
Rh1 0.000 0.500 0.500 1
```